Below is crystalline PPt2Cl at its relaxed geometry, with properties calculated at the GGA-PBE level.

Output
As for the space-group type: Fm-3m (225). The uncorrected formation energy comes out at 0.422 eV/atom. The volume comes out at 63 Å³/cell. The offset from the most stable computed form comes out at 681 meV per atom. The calculation puts the calculated density at 12.04 g/cm3.

Cell lengths 4.4657, 4.4657, 4.4657 Å; angles 60.00, 60.00, 60.00 degrees
Fractional coordinates of all 4 atoms:
P 0.0000 0.0000 0.0000
Pt 0.2500 0.2500 0.2500
Pt 0.7500 0.7500 0.7500
Cl 0.5000 0.5000 0.5000

***

Below is crystalline BeOs3Pt at its relaxed geometry, with properties calculated at the GGA-PBE level.

Output
As for the space-group type: Pm-3m (221). Its energy of formation from the pure elements is 723 meV/atom. The volume comes out at 69 Å³/cell. The offset from the most stable computed form comes out at 0 meV per atom. The calculation puts the calculated density at 18.66 g/cm3.

Cell lengths 4.1008, 4.1008, 4.1008 Å; angles 90.00, 90.00, 90.00 degrees
Fractional coordinates of all 5 atoms:
Be 0.0000 0.0000 0.0000
Os 0.0000 0.0000 0.5000
Os 0.0000 0.5000 0.0000
Os 0.5000 0.0000 0.0000
Pt 0.5000 0.5000 0.5000

***

Below is crystalline HgI3O at its relaxed geometry, with properties calculated at the GGA-PBE level.

Output
As for the space-group type: Pm-3m (221). The uncorrected formation energy comes out at 0.371 eV/atom. The volume comes out at 139 Å³/cell. The offset from the most stable computed form comes out at 0 meV per atom. The calculation puts the calculated density at 7.13 g/cm3.

Cell lengths 5.1818, 5.1818, 5.1818 Å; angles 90.00, 90.00, 90.00 degrees
Fractional coordinates of all 5 atoms:
Hg 0.0000 0.0000 0.0000
I 0.0000 0.5000 0.5000
I 0.5000 0.0000 0.5000
I 0.5000 0.5000 0.0000
O 0.5000 0.5000 0.5000

***

Below is crystalline TbErTeC at its relaxed geometry, with properties calculated at the GGA-PBE level.

Output
As for the space-group type: R3m (160). The uncorrected formation energy comes out at -0.835 eV/atom. The volume comes out at 89 Å³/cell. The calculation puts the calculated density at 8.72 g/cm3.

Cell lengths 7.4208, 7.4208, 7.4208 Å; angles 29.68, 29.68, 29.68 degrees
Fractional coordinates of all 4 atoms:
Tb 0.0000 0.0000 0.0000
Er 0.7903 0.7903 0.7903
Te 0.2269 0.2269 0.2269
C 0.3971 0.3971 0.3971

***

Below is crystalline Th4HgPb2 at its relaxed geometry, with properties calculated at the GGA-PBE level.

Output
As for the space-group type: P2_1/m (11). Its energy of formation from the pure elements is -114 meV/atom. The volume comes out at 434 Å³/cell. The calculation puts the calculated density at 11.81 g/cm3.

Cell lengths 6.1270, 6.6106, 11.1215 Å; angles 90.00, 105.61, 90.00 degrees
Fractional coordinates of all 14 atoms:
Th 0.1707 0.2500 0.1495
Th 0.2879 0.0040 0.7294
Th 0.2879 0.4960 0.7294
Th 0.2975 0.7500 0.4376
Th 0.7025 0.2500 0.5624
Th 0.7121 0.5040 0.2706
Th 0.7121 0.9960 0.2706
Th 0.8293 0.7500 0.8505
Hg 0.0773 0.7500 0.1514
Hg 0.9227 0.2500 0.8486
Pb 0.1633 0.2500 0.4475
Pb 0.4167 0.7500 0.0059
Pb 0.5833 0.2500 0.9941
Pb 0.8367 0.7500 0.5525

***

Below is crystalline AcCeCdSi at its relaxed geometry, with properties calculated at the GGA-PBE level.

Output
As for the space-group type: F-43m (216). The uncorrected formation energy comes out at -0.241 eV/atom. The volume comes out at 112 Å³/cell. The calculation puts the calculated density at 7.49 g/cm3.

Cell lengths 5.4183, 5.4183, 5.4183 Å; angles 60.00, 60.00, 60.00 degrees
Fractional coordinates of all 4 atoms:
Ac 0.0000 0.0000 0.0000
Ce 0.5000 0.5000 0.5000
Cd 0.2500 0.2500 0.2500
Si 0.7500 0.7500 0.7500

***

Below is crystalline Li2PbI2 at its relaxed geometry, with properties calculated at the GGA-PBE level.

Output
As for the space-group type: I4/mmm (139). The uncorrected formation energy comes out at -0.358 eV/atom. The volume comes out at 163 Å³/cell. The offset from the most stable computed form comes out at 103 meV per atom. The calculation puts the calculated density at 4.85 g/cm3.

Cell lengths 6.8171, 6.8171, 6.8171 Å; angles 133.75, 133.75, 67.48 degrees
Fractional coordinates of all 5 atoms:
Li 0.1518 0.1518 0.0000
Li 0.8482 0.8482 0.0000
Pb 0.5000 0.5000 0.0000
I 0.2500 0.7500 0.5000
I 0.7500 0.2500 0.5000

***

Below is crystalline Li2OsBr at its relaxed geometry, with properties calculated at the GGA-PBE level.

Output
As for the space-group type: I-42d (122). The uncorrected formation energy comes out at 0.545 eV/atom. The volume comes out at 132 Å³/cell. The offset from the most stable computed form comes out at 525 meV per atom. The calculation puts the calculated density at 7.12 g/cm3.

Cell lengths 5.6631, 5.6631, 5.6631 Å; angles 102.52, 102.52, 124.50 degrees
Fractional coordinates of all 8 atoms:
Li 0.1035 0.6250 0.9785
Li 0.3750 0.3535 0.4785
Li 0.6465 0.1250 0.0215
Li 0.8750 0.8965 0.5215
Os 0.2500 0.7500 0.5000
Os 0.5000 0.5000 0.0000
Br 0.0000 0.0000 0.0000
Br 0.7500 0.2500 0.5000

***

Below is crystalline TcTe2CN at its relaxed geometry, with properties calculated at the GGA-PBE level.

Output
As for the space-group type: P4/mmm (123). The uncorrected formation energy comes out at 1.399 eV/atom. The volume comes out at 89 Å³/cell. The offset from the most stable computed form comes out at 0 meV per atom. The calculation puts the calculated density at 7.04 g/cm3.

Cell lengths 5.8231, 5.8231, 2.6370 Å; angles 90.00, 90.00, 90.00 degrees
Fractional coordinates of all 5 atoms:
Tc 0.0000 0.0000 0.0000
Te 0.0000 0.5000 0.5000
Te 0.5000 0.0000 0.5000
C 0.5000 0.5000 0.5000
N 0.5000 0.5000 0.0000